The following is a PBE-GGA calculation of a relaxed structure of Sn4C23, from Alexandria via LeMat-Bulk.

Cell lengths 7.572, 7.572, 7.572 Å; angles 90.00, 90.00, 90.00 degrees
Element x y z (fractional)
1 Sn 0.000 0.000 0.000
2 Sn 0.000 0.250 0.500
3 Sn 0.000 0.750 0.500
4 Sn 0.250 0.500 0.000
5 Sn 0.500 0.000 0.250
6 Sn 0.500 0.000 0.750
7 Sn 0.500 0.500 0.500
8 Sn 0.750 0.500 0.000
9 C 0.000 0.285 0.199
10 C 0.000 0.285 0.801
11 C 0.000 0.500 0.250
12 C 0.000 0.500 0.750
13 C 0.000 0.715 0.199
14 C 0.000 0.715 0.801
15 C 0.188 0.188 0.188
16 C 0.188 0.188 0.812
17 C 0.188 0.812 0.188
18 C 0.188 0.812 0.812
19 C 0.199 0.000 0.285
20 C 0.199 0.000 0.715
21 C 0.215 0.500 0.301
22 C 0.215 0.500 0.699
23 C 0.250 0.000 0.500
24 C 0.285 0.199 0.000
25 C 0.285 0.801 0.000
26 C 0.301 0.215 0.500
27 C 0.301 0.785 0.500
28 C 0.312 0.312 0.312
29 C 0.312 0.312 0.688
30 C 0.312 0.688 0.312
31 C 0.312 0.688 0.688
32 C 0.500 0.250 0.000
33 C 0.500 0.301 0.215
34 C 0.500 0.301 0.785
35 C 0.500 0.699 0.215
36 C 0.500 0.699 0.785
37 C 0.500 0.750 0.000
38 C 0.688 0.312 0.312
39 C 0.688 0.312 0.688
40 C 0.688 0.688 0.312
41 C 0.688 0.688 0.688
42 C 0.699 0.215 0.500
43 C 0.699 0.785 0.500
44 C 0.715 0.199 0.000
45 C 0.715 0.801 0.000
46 C 0.750 0.000 0.500
47 C 0.785 0.500 0.301
48 C 0.785 0.500 0.699
49 C 0.801 0.000 0.285
50 C 0.801 0.000 0.715
51 C 0.812 0.188 0.188
52 C 0.812 0.188 0.812
53 C 0.812 0.812 0.188
54 C 0.812 0.812 0.812

Results
Density in g/cm³: 5.745
DFT formation energy in meV per atom: 1444
Total magnetic moment in μB/f.u.: 0.00
VASP energy in eV/atom: -7.007
Crystal system: cubic
Symmetry: Pm-3n, No. 223